First-principles (GGA-PBE) data for an optimized crystal structure of Sm4Ho8Tm3, as listed in the Alexandria database. Values from VASP.

Cell and atoms, written as Quantum ESPRESSO input:
```
&SYSTEM
  ibrav = 0, nat = 15, ntyp = 3
/
ATOMIC_SPECIES
Sm 150.36 Sm.upf
Ho 164.93 Ho.upf
Tm 168.93 Tm.upf
ATOMIC_POSITIONS angstrom
Sm 0.000 0.000 0.000
Sm 0.000 0.000 5.755
Sm 0.000 0.000 17.596
Sm 0.000 0.000 29.437
Ho 0.000 -1.981 14.619
Ho -1.716 0.991 14.619
Ho -1.716 -0.991 20.573
Ho 0.000 0.000 8.993
Ho 0.000 0.000 26.198
Ho 1.716 0.991 14.619
Ho 1.716 -0.991 20.573
Ho 0.000 1.981 20.573
Tm -1.726 -0.997 11.731
Tm -1.726 0.997 23.461
Tm 0.000 1.993 11.731
CELL_PARAMETERS angstrom
3.452 1.993 11.731
-3.452 1.993 11.731
0.000 -3.987 11.731
```

Results
Magnetic moment   0.0 μB per formula unit
E_tot   -4.467 eV per atom
Formation enthalpy at 0 K   127 meV/atom
Polymorph energy (0 for the lowest one)   0.00 eV/f.u.